A plane-wave DFT calculation with PBE was carried out for crystalline Li2Al2Ir at its relaxed geometry.

abc: 6.692 6.692 3.178
angles: 90.00 90.00 90.00
Fractional positions:
Li  0.158  0.342  0.000
Li  0.342  0.842  0.000
Li  0.658  0.158  0.000
Li  0.842  0.658  0.000
Al  0.148  0.648  0.500
Al  0.352  0.148  0.500
Al  0.648  0.852  0.500
Al  0.852  0.352  0.500
Ir  0.000  0.000  0.500
Ir  0.500  0.500  0.500

ΔE_f ... -0.17 eV per atom
Calculated density ... 6070 kg/m3
Energy relative to the lowest polymorph listed for this composition ... 1.727 eV per formula unit